P) The following is a DFT calculation (PBE) of crystalline AcNdTlPb at its relaxed geometry.

Values from the calculation:
**Total magnetization**: 0.00 μB per formula unit
**Crystal system**: cubic
**Volume**: 528 Å³/cell

Unit cell a=8.081 b=8.081 c=8.081 alpha=90.00 beta=90.00 gamma=90.00
Space group F-43m (No. 216)
Unique sites:
Ac1 0.000 0.000 0.000 (multiplicity 4)
Nd1 0.000 0.000 0.500 (multiplicity 4)
Tl1 0.250 0.250 0.750 (multiplicity 4)
Pb1 0.250 0.250 0.250 (multiplicity 4)



Q) The following is a DFT calculation (PBE) of crystalline AcNdTlPb at its relaxed geometry.

Values from the calculation:
**Total magnetization**: 0.00 μB per formula unit
**Crystal system**: orthorhombic
**Volume**: 277 Å³/cell

Unit cell a=4.599 b=4.869 c=12.350 alpha=90.00 beta=90.00 gamma=90.00
Space group Amm2 (No. 38)
Unique sites:
Ac1 0.000 0.000 0.000 (multiplicity 2)
Nd1 0.500 0.000 0.728 (multiplicity 2)
Tl1 0.500 0.000 0.448 (multiplicity 2)
Pb1 0.000 0.000 0.274 (multiplicity 2)



Which one sits at the top of the stability order? Q) does.



P) The following is a DFT calculation (PBE) of crystalline AcNdPd2 at its relaxed geometry.

Values from the calculation:
**Total magnetization**: 0.00 μB per formula unit
**Crystal system**: cubic
**Volume**: 412 Å³/cell

Unit cell a=7.439 b=7.439 c=7.439 alpha=90.00 beta=90.00 gamma=90.00
Space group Fm-3m (No. 225)
Unique sites:
Ac1 0.000 0.000 0.000 (multiplicity 4)
Nd1 0.000 0.000 0.500 (multiplicity 4)
Pd1 0.250 0.250 0.250 (multiplicity 8)



Q) The following is a DFT calculation (PBE) of crystalline AcNdPd2 at its relaxed geometry.

Values from the calculation:
**Total magnetization**: 0.00 μB per formula unit
**Crystal system**: trigonal
**Volume**: 340 Å³/cell

Unit cell a=4.3181 b=4.3181 c=21.0633 alpha=90.00 beta=90.00 gamma=120.00
Space group R-3m (No. 166, hexagonal axes)
Unique sites:
Ac1 0.0000 0.0000 0.0000 (multiplicity 3)
Nd1 0.0000 0.0000 0.5000 (multiplicity 3)
Pd1 0.0000 0.0000 0.2461 (multiplicity 6)



R) The following is a DFT calculation (PBE) of crystalline AcNdPd2 at its relaxed geometry.

Values from the calculation:
**Total magnetization**: 0.00 μB per formula unit
**Crystal system**: tetragonal
**Volume**: 102 Å³/cell

Unit cell a=3.738 b=3.738 c=7.334 alpha=90.00 beta=90.00 gamma=90.00
Space group P4/mmm (No. 123)
Unique sites:
Ac1 0.000 0.000 0.000 (multiplicity 1)
Nd1 0.000 0.000 0.500 (multiplicity 1)
Pd1 0.500 0.500 0.271 (multiplicity 2)



Which one sits at the top of the stability order? Q) does.



P) The following is a DFT calculation (PBE) of crystalline AcNdPd2 at its relaxed geometry.

Values from the calculation:
**Total magnetization**: 0.00 μB per formula unit
**Crystal system**: orthorhombic
**Volume**: 212 Å³/cell

Unit cell a=4.686 b=4.034 c=11.236 alpha=90.00 beta=90.00 gamma=90.00
Space group Amm2 (No. 38)
Unique sites:
Ac1 0.000 0.000 0.000 (multiplicity 2)
Nd1 0.500 0.000 0.729 (multiplicity 2)
Pd1 0.000 0.000 0.275 (multiplicity 2)
Pd2 0.500 0.000 0.446 (multiplicity 2)



Q) The following is a DFT calculation (PBE) of crystalline AcNdPd2 at its relaxed geometry.

Values from the calculation:
**Total magnetization**: 0.00 μB per formula unit
**Crystal system**: trigonal
**Volume**: 344 Å³/cell

Unit cell a=4.2357 b=4.2357 c=22.1495 alpha=90.00 beta=90.00 gamma=120.00
Space group R3m (No. 160, hexagonal axes)
Unique sites:
Ac1 0.0000 0.0000 0.0000 (multiplicity 3)
Nd1 0.0000 0.0000 0.8271 (multiplicity 3)
Pd1 0.0000 0.0000 0.2438 (multiplicity 3)
Pd2 0.0000 0.0000 0.4174 (multiplicity 3)



Which one sits at the top of the stability order? P) does.



P) The following is a DFT calculation (PBE) of crystalline AcNdPd4 at its relaxed geometry.

Values from the calculation:
**Total magnetization**: 0.00 μB per formula unit
**Crystal system**: orthorhombic
**Volume**: 529 Å³/cell

Unit cell a=4.364 b=20.394 c=5.949 alpha=90.00 beta=90.00 gamma=90.00
Space group Cmcm (No. 63)
Unique sites:
Ac1 0.000 0.220 0.250 (multiplicity 4)
Nd1 0.000 0.074 0.750 (multiplicity 4)
Pd1 0.000 0.070 0.250 (multiplicity 4)
Pd2 0.000 0.358 0.511 (multiplicity 8)
Pd3 0.000 0.500 0.000 (multiplicity 4)



Q) The following is a DFT calculation (PBE) of crystalline AcNdPd4 at its relaxed geometry.

Values from the calculation:
**Total magnetization**: 0.00 μB per formula unit
**Crystal system**: cubic
**Volume**: 499 Å³/cell

Unit cell a=7.931 b=7.931 c=7.931 alpha=90.00 beta=90.00 gamma=90.00
Space group F-43m (No. 216)
Unique sites:
Ac1 0.000 0.000 0.000 (multiplicity 4)
Nd1 0.250 0.250 0.750 (multiplicity 4)
Pd1 0.125 0.125 0.375 (multiplicity 16)



Which one sits at the top of the stability order? P) does.